{"formula": "ScMnAs2O8", "functional": "PBE with a Hubbard U", "state": "optimized geometry", "cell": [[-3.422, 4.250, 0.898], [-0.861, -3.386, -4.287], [-3.219, -3.274, 3.232]], "species": ["Sc", "Mn", "As", "As", "O", "O", "O", "O", "O", "O", "O", "O"], "frac_coords": [[0.000, 0.000, 0.000], [0.000, 0.000, 0.500], [0.667, 0.333, 0.367], [0.333, 0.667, 0.633], [0.840, 0.160, 0.259], [0.840, 0.681, 0.259], [0.319, 0.160, 0.259], [0.681, 0.840, 0.741], [0.333, 0.667, 0.341], [0.667, 0.333, 0.659], [0.160, 0.840, 0.741], [0.160, 0.319, 0.741]], "final_energy_ev_per_atom": -6.710, "crystal_system": "trigonal", "spacegroup": "P-3m1 (164)"}